Entry 1:
Compound: KInGeSe4
Source: Alexandria via LeMat-Bulk
Functional: PBE-GGA
Structure: relaxed

Summary:
Calculated total energy = -53.1 eV per cell

Cell lengths 7.992, 7.992, 7.985 Å; angles 90.00, 90.00, 111.57 degrees
Atoms (fractional coordinates):
K1 0.500 0.500 0.500
K2 0.500 0.500 0.000
In1 0.874 0.126 0.250
In2 0.126 0.874 0.750
Ge1 0.132 0.868 0.250
Ge2 0.868 0.132 0.750
Se1 0.189 0.222 0.750
Se2 0.778 0.811 0.750
Se3 0.755 0.245 0.985
Se4 0.755 0.245 0.515
Se5 0.245 0.755 0.015
Se6 0.245 0.755 0.485
Se7 0.811 0.778 0.250
Se8 0.222 0.189 0.250


Entry 2:
Compound: Rb2FeWCl
Source: Alexandria via LeMat-Bulk
Functional: PBE-GGA
Structure: relaxed

Summary:
Calculated total energy = -19.0 eV per cell

Cell lengths 6.539, 4.297, 6.539 Å; angles 90.00, 90.00, 90.00 degrees
Site moments in Bohr magnetons follow the coordinates.
Atoms (fractional coordinates):
Cl1 0.000 0.000 0.000  0.05
Rb1 0.000 0.000 0.500  0.01
Rb2 0.500 0.000 0.000  0.01
W1 0.500 0.500 0.500  3.37
Fe1 0.000 0.500 0.000  2.44


Entry 3:
Compound: Dy2Y6Er
Source: Alexandria via LeMat-Bulk
Functional: PBE-GGA
Structure: relaxed

Summary:
Polymorph energy (0 for the lowest one) = 0.0 meV per atom
E_form = 0.02 eV per atom

Cell lengths 5.034, 10.672, 10.672 Å; angles 90.00, 90.00, 90.00 degrees
Atoms (fractional coordinates):
Dy1 0.000 0.334 0.834
Dy2 0.500 0.834 0.666
Dy3 0.500 0.166 0.334
Dy4 0.000 0.666 0.166
Y1 0.000 0.000 0.168
Y2 0.000 0.668 0.500
Y3 0.000 0.666 0.834
Y4 0.500 0.166 0.666
Y5 0.500 0.168 0.000
Y6 0.500 0.500 0.332
Y7 0.000 0.000 0.832
Y8 0.000 0.332 0.500
Y9 0.000 0.334 0.166
Y10 0.500 0.834 0.334
Y11 0.500 0.832 0.000
Y12 0.500 0.500 0.668
Er1 0.500 0.500 0.000
Er2 0.000 0.000 0.500


Entry 4:
Compound: La3Sm3TlHg2
Source: Alexandria via LeMat-Bulk
Functional: PBE-GGA
Structure: relaxed

Summary:
E_form = -0.24 eV per atom

Cell lengths 3.897, 9.138, 9.138 Å; angles 120.00, 90.00, 90.00 degrees
Atoms (fractional coordinates):
La1 0.500 0.712 0.000
La2 0.500 0.000 0.712
La3 0.500 0.288 0.288
Sm1 0.000 0.612 0.612
Sm2 0.000 0.000 0.388
Sm3 0.000 0.388 0.000
Tl1 0.000 0.000 0.000
Hg1 0.500 0.667 0.333
Hg2 0.500 0.333 0.667


Entry 5:
Compound: CdGeO
Source: Alexandria via LeMat-Bulk
Functional: PBE-GGA
Structure: relaxed

Summary:
Polymorph energy (0 for the lowest one) = 73.5 meV per atom

Cell lengths 5.082, 3.110, 7.054 Å; angles 90.00, 94.94, 90.00 degrees
Atoms (fractional coordinates):
Cd1 0.352 0.000 0.255
Cd2 0.771 0.500 0.060
Ge1 0.674 0.500 0.538
Ge2 0.188 0.000 0.725
O1 0.460 0.500 0.761
O2 0.078 0.000 0.969


no.,magnetization (μB per formula unit),mass density (Mg/m³)
1,0.0,3.80
2,7.3,4.03
3,0.0,5.94
4,0.0,8.68
5,0.0,6.01